Density functional theory data (GGA-PBE) for crystalline Al2AgAu5 at its relaxed geometry.

Unit cell a=3.160 b=7.005 c=7.005 alpha=72.25 beta=76.97 gamma=76.97
Positions (direct):
1 Al 0.244 0.256 0.256
2 Al 0.756 0.744 0.744
3 Ag 0.000 0.000 0.000
4 Au 0.000 0.500 0.500
5 Au 0.366 0.395 0.872
6 Au 0.634 0.605 0.128
7 Au 0.634 0.128 0.605
8 Au 0.366 0.872 0.395

## Properties
**Formation energy**: -0.1776 eV per atom
**D(E_F)**: 2.24 states/eV per cell

Density functional theory data (GGA-PBE) for crystalline AlAg2Au at its relaxed geometry.

Unit cell a=4.383 b=2.956 c=5.575 alpha=75.56 beta=90.00 gamma=90.00
Positions (direct):
1 Au 0.500 0.567 0.746
2 Al 0.000 0.684 0.492
3 Ag 0.000 0.950 0.989
4 Ag 0.500 0.299 0.273

## Properties
**Formation energy**: -0.1144 eV per atom
**D(E_F)**: 0.79 states/eV per cell

Density functional theory data (GGA-PBE) for crystalline AlAg8Au5 at its relaxed geometry.

Unit cell a=6.995 b=6.995 c=6.995 alpha=110.22 beta=107.99 gamma=110.22
Positions (direct):
1 Al 0.250 0.500 0.750
2 Ag 0.106 0.763 0.998
3 Ag 0.002 0.107 0.765
4 Ag 0.832 0.228 0.405
5 Ag 0.595 0.428 0.823
6 Ag 0.396 0.572 0.168
7 Ag 0.658 0.893 0.894
8 Ag 0.235 0.237 0.342
9 Ag 0.177 0.772 0.604
10 Au 0.949 0.406 0.125
11 Au 0.875 0.823 0.281
12 Au 0.719 0.594 0.542
13 Au 0.500 0.000 0.500
14 Au 0.458 0.177 0.051

## Properties
**Formation energy**: 0.0651 eV per atom
**D(E_F)**: 5.72 states/eV per cell

Density functional theory data (GGA-PBE) for crystalline Al2AgAu7 at its relaxed geometry.

Unit cell a=4.513 b=7.469 c=7.469 alpha=119.99 beta=90.00 gamma=90.00
Positions (direct):
1 Al 0.500 0.699 0.301
2 Al 0.500 0.301 0.699
3 Ag 0.000 0.000 0.000
4 Au 0.000 0.785 0.215
5 Au 0.000 0.215 0.785
6 Au 0.500 0.074 0.303
7 Au 0.500 0.926 0.697
8 Au 0.500 0.303 0.074
9 Au 0.500 0.697 0.926
10 Au 0.500 0.500 0.500

## Properties
**Formation energy**: -0.0568 eV per atom
**E above lowest polymorph**: 1.413 eV per formula unit
**D(E_F)**: 4.10 states/eV per cell

Density functional theory data (GGA-PBE) for crystalline AlAg3Au3 at its relaxed geometry.

Unit cell a=7.991 b=7.991 c=7.991 alpha=90.00 beta=90.00 gamma=90.00
Positions (direct):
1 Al 0.133 0.633 0.867
2 Al 0.867 0.133 0.633
3 Al 0.367 0.367 0.367
4 Al 0.633 0.867 0.133
5 Ag 0.849 0.349 0.151
6 Ag 0.972 0.972 0.972
7 Ag 0.826 0.674 0.326
8 Ag 0.151 0.849 0.349
9 Ag 0.174 0.174 0.174
10 Ag 0.326 0.826 0.674
11 Ag 0.028 0.472 0.528
12 Ag 0.349 0.151 0.849
13 Ag 0.674 0.326 0.826
14 Ag 0.651 0.651 0.651
15 Ag 0.528 0.028 0.472
16 Ag 0.472 0.528 0.028
17 Au 0.816 0.646 0.963
18 Au 0.854 0.037 0.316
19 Au 0.963 0.816 0.646
20 Au 0.146 0.537 0.184
21 Au 0.184 0.146 0.537
22 Au 0.316 0.854 0.037
23 Au 0.037 0.316 0.854
24 Au 0.354 0.463 0.684
25 Au 0.537 0.184 0.146
26 Au 0.646 0.963 0.816
27 Au 0.684 0.354 0.463
28 Au 0.463 0.684 0.354

## Properties
**Formation energy**: -0.1099 eV per atom
**E above lowest polymorph**: 0.000 eV per formula unit
**D(E_F)**: 8.56 states/eV per cell

Density functional theory data (GGA-PBE) for crystalline AlAg2Au8 at its relaxed geometry.

Unit cell a=5.118 b=6.822 c=6.822 alpha=83.86 beta=75.75 gamma=75.75
Positions (direct):
1 Al 0.000 0.000 0.000
2 Ag 0.486 0.143 0.143
3 Ag 0.514 0.857 0.857
4 Au 0.804 0.158 0.688
5 Au 0.196 0.312 0.842
6 Au 0.904 0.270 0.270
7 Au 0.096 0.730 0.730
8 Au 0.804 0.688 0.158
9 Au 0.196 0.842 0.312
10 Au 0.299 0.429 0.429
11 Au 0.701 0.571 0.571

## Properties
**Formation energy**: 0.0472 eV per atom
**E above lowest polymorph**: 1.574 eV per formula unit
**D(E_F)**: 2.66 states/eV per cell

Density functional theory data (GGA-PBE) for crystalline AlAg2Au2 at its relaxed geometry.

Unit cell a=7.536 b=7.536 c=7.536 alpha=150.71 beta=150.71 gamma=41.90
Positions (direct):
1 Al 0.000 0.000 0.000
2 Ag 0.595 0.595 0.000
3 Ag 0.405 0.405 0.000
4 Au 0.250 0.750 0.500
5 Au 0.750 0.250 0.500

## Properties
**Formation energy**: 0.1897 eV per atom
**E above lowest polymorph**: 1.719 eV per formula unit
**D(E_F)**: 2.05 states/eV per cell

Density functional theory data (GGA-PBE) for crystalline Al4AgAu at its relaxed geometry.

Unit cell a=5.323 b=5.323 c=5.323 alpha=60.00 beta=60.00 gamma=60.00
Positions (direct):
1 Al 0.876 0.375 0.375
2 Al 0.375 0.375 0.876
3 Al 0.375 0.876 0.375
4 Al 0.375 0.375 0.375
5 Ag 0.000 0.000 0.000
6 Au 0.750 0.750 0.750

## Properties
**Formation energy**: 0.1494 eV per atom
**D(E_F)**: 1.67 states/eV per cell

Density functional theory data (GGA-PBE) for crystalline AlAg2Au2 at its relaxed geometry.

Unit cell a=4.600 b=5.276 c=7.711 alpha=90.00 beta=107.35 gamma=90.00
Positions (direct):
1 Al 0.427 0.032 0.854
2 Al 0.573 0.532 0.146
3 Ag 0.036 0.808 0.073
4 Ag 0.767 0.387 0.534
5 Ag 0.233 0.887 0.466
6 Ag 0.964 0.308 0.927
7 Au 0.385 0.528 0.770
8 Au 0.846 0.879 0.691
9 Au 0.154 0.379 0.309
10 Au 0.615 0.028 0.230

## Properties
**Formation energy**: -0.1371 eV per atom
**E above lowest polymorph**: 0.085 eV per formula unit
**D(E_F)**: 2.41 states/eV per cell

Density functional theory data (GGA-PBE) for crystalline AlAg5Au6 at its relaxed geometry.

Unit cell a=4.196 b=7.832 c=6.788 alpha=90.00 beta=72.54 gamma=90.00
Positions (direct):
1 Au 0.840 0.754 0.322
2 Au 0.840 0.246 0.322
3 Au 0.500 0.231 0.000
4 Au 0.500 0.769 0.000
5 Au 0.160 0.754 0.678
6 Au 0.160 0.246 0.678
7 Al 0.000 0.000 0.000
8 Ag 0.667 0.500 0.666
9 Ag 0.329 0.000 0.342
10 Ag 0.000 0.500 0.000
11 Ag 0.671 0.000 0.658
12 Ag 0.333 0.500 0.334

## Properties
**Formation energy**: -0.0910 eV per atom
**D(E_F)**: 4.08 states/eV per cell

Density functional theory data (GGA-PBE) for crystalline Al5Ag12Au3 at its relaxed geometry.

Unit cell a=13.383 b=13.383 c=13.383 alpha=109.47 beta=109.47 gamma=109.47
Positions (direct):
1 Au 0.750 0.375 0.125
2 Au 0.875 0.750 0.125
3 Au 0.375 0.750 0.625
4 Au 0.250 0.125 0.375
5 Au 0.875 0.125 0.250
6 Au 0.375 0.625 0.250
7 Au 0.625 0.375 0.750
8 Au 0.125 0.875 0.750
9 Au 0.750 0.875 0.625
10 Au 0.625 0.250 0.375
11 Au 0.125 0.250 0.875
12 Au 0.250 0.625 0.875
13 Al 0.125 0.375 0.250
14 Al 0.000 0.500 0.000
15 Al 0.000 0.000 0.000
16 Al 0.375 0.250 0.125
17 Al 0.500 0.000 0.500
18 Al 0.500 0.500 0.000
19 Al 0.125 0.750 0.375
20 Al 0.750 0.125 0.875
21 Al 0.750 0.625 0.375
22 Al 0.375 0.125 0.750
23 Al 0.625 0.875 0.250
24 Al 0.500 0.500 0.500
25 Al 0.500 0.000 0.000
26 Al 0.000 0.000 0.500
27 Al 0.250 0.375 0.625
28 Al 0.250 0.875 0.125
29 Al 0.000 0.500 0.500
30 Al 0.875 0.250 0.625
31 Al 0.625 0.750 0.875
32 Al 0.875 0.625 0.750
33 Ag 0.723 0.138 0.060
34 Ag 0.337 0.560 0.422
35 Ag 0.940 0.362 0.277
36 Ag 0.560 0.223 0.138
37 Ag 0.585 0.723 0.663
38 Ag 0.940 0.578 0.163
39 Ag 0.337 0.777 0.415
40 Ag 0.078 0.915 0.138
41 Ag 0.578 0.940 0.663
42 Ag 0.723 0.585 0.163
43 Ag 0.777 0.440 0.362
44 Ag 0.837 0.922 0.060
45 Ag 0.138 0.723 0.560
46 Ag 0.362 0.422 0.085
47 Ag 0.085 0.922 0.362
48 Ag 0.415 0.138 0.578
49 Ag 0.085 0.163 0.223
50 Ag 0.440 0.663 0.078
51 Ag 0.837 0.915 0.277
52 Ag 0.138 0.415 0.078
53 Ag 0.362 0.940 0.777
54 Ag 0.578 0.638 0.415
55 Ag 0.922 0.837 0.560
56 Ag 0.777 0.337 0.915
57 Ag 0.422 0.362 0.585
58 Ag 0.078 0.163 0.440
59 Ag 0.223 0.663 0.085
60 Ag 0.163 0.085 0.723
61 Ag 0.638 0.060 0.223
62 Ag 0.862 0.585 0.922
63 Ag 0.560 0.337 0.922
64 Ag 0.585 0.862 0.422
65 Ag 0.915 0.837 0.777
66 Ag 0.915 0.078 0.638
67 Ag 0.862 0.277 0.440
68 Ag 0.163 0.078 0.940
69 Ag 0.638 0.578 0.915
70 Ag 0.422 0.060 0.337
71 Ag 0.277 0.415 0.837
72 Ag 0.223 0.560 0.638
73 Ag 0.922 0.085 0.862
74 Ag 0.663 0.223 0.585
75 Ag 0.440 0.777 0.862
76 Ag 0.060 0.422 0.837
77 Ag 0.415 0.277 0.337
78 Ag 0.060 0.638 0.723
79 Ag 0.663 0.440 0.578
80 Ag 0.277 0.862 0.940

## Properties
**Formation energy**: 0.3572 eV per atom
**D(E_F)**: 48.75 states/eV per cell

Density functional theory data (GGA-PBE) for crystalline AlAgAu2 at its relaxed geometry.

Unit cell a=5.079 b=5.079 c=5.079 alpha=136.29 beta=128.95 gamma=69.42
Positions (direct):
1 Au 0.976 0.976 0.000
2 Au 0.524 0.524 0.000
3 Al 0.750 0.250 0.500
4 Ag 0.250 0.750 0.500

## Properties
**Formation energy**: -0.1960 eV per atom
**E above lowest polymorph**: 0.166 eV per formula unit
**D(E_F)**: 0.67 states/eV per cell

Density functional theory data (GGA-PBE) for crystalline Al2Ag3Au6 at its relaxed geometry.

Unit cell a=3.882 b=3.882 c=14.381 alpha=97.76 beta=97.76 gamma=90.00
Positions (direct):
1 Al 0.360 0.360 0.720
2 Al 0.640 0.640 0.280
3 Ag 0.000 0.000 0.000
4 Ag 0.827 0.827 0.654
5 Ag 0.173 0.173 0.346
6 Au 0.077 0.577 0.155
7 Au 0.577 0.077 0.155
8 Au 0.923 0.423 0.845
9 Au 0.423 0.923 0.845
10 Au 0.727 0.727 0.453
11 Au 0.273 0.273 0.547

## Properties
**Formation energy**: -0.0488 eV per atom
**D(E_F)**: 4.42 states/eV per cell

Density functional theory data (GGA-PBE) for crystalline AlAgAu2 at its relaxed geometry.

Unit cell a=5.162 b=5.162 c=4.776 alpha=73.15 beta=73.15 gamma=34.66
Positions (direct):
1 Au 0.979 0.979 0.036
2 Au 0.751 0.751 0.735
3 Al 0.252 0.252 0.224
4 Ag 0.518 0.518 0.505

## Properties
**Formation energy**: -0.1970 eV per atom
**E above lowest polymorph**: 0.162 eV per formula unit
**D(E_F)**: 0.80 states/eV per cell

Density functional theory data (GGA-PBE) for crystalline BaAlAg2Au at its relaxed geometry.

Unit cell a=5.097 b=5.097 c=5.060 alpha=90.00 beta=90.00 gamma=90.00
Positions (direct):
1 Au 0.000 0.000 0.500
2 Ba 0.500 0.500 0.500
3 Ag 0.000 0.500 0.000
4 Ag 0.500 0.000 0.000
5 Al 0.000 0.000 0.000

## Properties
**Formation energy**: -0.2554 eV per atom
**D(E_F)**: 2.21 states/eV per cell

Density functional theory data (GGA-PBE) for crystalline Ba2AlAgAu6 at its relaxed geometry.

Unit cell a=7.261 b=7.266 c=7.279 alpha=60.03 beta=60.05 gamma=90.06
Positions (direct):
1 Ba 0.750 0.250 0.500
2 Ba 0.250 0.750 0.500
3 Al 0.500 0.500 0.000
4 Ag 0.000 0.000 0.000
5 Au 0.259 0.259 0.482
6 Au 0.741 0.741 0.000
7 Au 0.259 0.741 0.000
8 Au 0.741 0.259 0.000
9 Au 0.259 0.259 0.000
10 Au 0.741 0.741 0.518

## Properties
**Formation energy**: -0.4041 eV per atom
**D(E_F)**: 3.74 states/eV per cell

Density functional theory data (GGA-PBE) for crystalline BaAl2AgAu4 at its relaxed geometry.

Unit cell a=4.467 b=4.467 c=10.500 alpha=77.72 beta=77.72 gamma=60.00
Positions (direct):
1 Ba 0.000 0.000 0.000
2 Al 0.768 0.768 0.697
3 Al 0.232 0.232 0.303
4 Ag 0.500 0.500 0.500
5 Au 0.406 0.406 0.782
6 Au 0.875 0.875 0.375
7 Au 0.125 0.125 0.625
8 Au 0.594 0.594 0.218

## Properties
**Formation energy**: -0.3915 eV per atom
**D(E_F)**: 1.27 states/eV per cell

Density functional theory data (GGA-PBE) for crystalline BaAlAg2Au4 at its relaxed geometry.

Unit cell a=4.696 b=4.696 c=9.708 alpha=76.00 beta=76.00 gamma=60.00
Positions (direct):
1 Ba 0.000 0.000 0.000
2 Al 0.500 0.500 0.500
3 Ag 0.761 0.761 0.716
4 Ag 0.239 0.239 0.284
5 Au 0.408 0.408 0.777
6 Au 0.865 0.865 0.406
7 Au 0.135 0.135 0.594
8 Au 0.592 0.592 0.223

## Properties
**Formation energy**: -0.2924 eV per atom
**D(E_F)**: 2.59 states/eV per cell

Density functional theory data (GGA-PBE) for crystalline BaAlAgAu6 at its relaxed geometry.

Unit cell a=7.416 b=9.079 c=9.094 alpha=119.95 beta=114.06 gamma=90.00
Positions (direct):
1 Ba 0.874 0.624 0.748
2 Ba 0.126 0.376 0.252
3 Al 0.500 0.500 0.000
4 Al 0.500 0.000 0.000
5 Ag 0.500 0.000 0.500
6 Ag 0.000 0.000 0.500
7 Au 0.409 0.659 0.818
8 Au 0.891 0.141 0.783
9 Au 0.849 0.145 0.298
10 Au 0.449 0.653 0.298
11 Au 0.449 0.145 0.298
12 Au 0.849 0.653 0.298
13 Au 0.591 0.341 0.182
14 Au 0.109 0.859 0.217
15 Au 0.151 0.855 0.702
16 Au 0.551 0.347 0.702
17 Au 0.551 0.855 0.702
18 Au 0.151 0.347 0.702

## Properties
**Formation energy**: -0.1179 eV per atom
**D(E_F)**: 4.69 states/eV per cell